An optimized crystal structure of CoSiF2, computed with GGA+U.

Cell lengths 6.0088, 6.0088, 6.0088 Å; angles 124.76, 124.76, 81.93 degrees
Sites, in units of the cell vectors:
Co1 0.0000 0.0000 0.0000
Co2 0.7500 0.2500 0.5000
Si1 0.2500 0.7500 0.5000
Si2 0.5000 0.5000 0.0000
F1 0.0055 0.6250 0.8805
F2 0.3750 0.2555 0.3805
F3 0.7445 0.1250 0.1195
F4 0.8750 0.9945 0.6195

Computed properties:
SG ... I-42d, No. 122
Energy above the lowest structure with this stoichiometry ... 296 meV/atom

An optimized crystal structure of CoSi2F2, computed with GGA+U.

Cell lengths 6.2042, 6.2042, 6.2042 Å; angles 150.97, 150.97, 41.52 degrees
Sites, in units of the cell vectors:
Co1 0.0000 0.0000 0.0000
Si1 0.3864 0.3864 0.0000
Si2 0.6136 0.6136 0.0000
F1 0.2500 0.7500 0.5000
F2 0.7500 0.2500 0.5000

Computed properties:
SG ... I4/mmm, No. 139
Energy above the lowest structure with this stoichiometry ... 406 meV/atom

An optimized crystal structure of CoSi2F2, computed with GGA+U.

Cell lengths 4.4004, 4.4004, 3.9489 Å; angles 90.00, 90.00, 90.00 degrees
Sites, in units of the cell vectors:
Co1 0.0000 0.0000 0.0000
Si1 0.0000 0.5000 0.0000
Si2 0.5000 0.0000 0.0000
F1 0.0000 0.5000 0.5000
F2 0.5000 0.0000 0.5000

Computed properties:
SG ... P4/mmm, No. 123
Energy above the lowest structure with this stoichiometry ... 0 meV/atom

An optimized crystal structure of SmCoF5, computed with GGA+U.

Cell lengths 5.7241, 5.7241, 7.7514 Å; angles 109.62, 109.62, 72.72 degrees
Sites, in units of the cell vectors:
Sm1 0.0550 0.9450 0.7500
Sm2 0.9450 0.0550 0.2500
Co1 0.5000 0.5000 0.0000
Co2 0.5000 0.5000 0.5000
F1 0.1804 0.8026 0.0335
F2 0.1974 0.8196 0.4665
F3 0.2417 0.2851 0.3775
F4 0.2851 0.2417 0.8775
F5 0.3960 0.6040 0.7500
F6 0.6040 0.3960 0.2500
F7 0.7149 0.7583 0.1225
F8 0.7583 0.7149 0.6225
F9 0.8026 0.1804 0.5335
F10 0.8196 0.1974 0.9665

Computed properties:
SG ... C2/c, No. 15
E ... -5.973 eV per atom

An optimized crystal structure of Sm2CoF8, computed with GGA+U.

Cell lengths 7.6729, 7.6729, 5.3335 Å; angles 110.21, 110.21, 28.04 degrees
Sites, in units of the cell vectors:
Sm1 0.1704 0.1704 0.1774
Sm2 0.8296 0.8296 0.8226
Co1 0.5000 0.5000 0.5000
F1 0.0391 0.0391 0.3264
F2 0.2243 0.2243 0.8237
F3 0.3248 0.3248 0.5401
F4 0.4101 0.4101 0.1001
F5 0.5899 0.5899 0.8999
F6 0.6752 0.6752 0.4599
F7 0.7757 0.7757 0.1763
F8 0.9609 0.9609 0.6736

Computed properties:
SG ... C2/m, No. 12
E ... -6.180 eV per atom

An optimized crystal structure of CoSnF3, computed with GGA+U.

Cell lengths 4.5995, 4.5995, 4.5995 Å; angles 90.00, 90.00, 90.00 degrees
Sites, in units of the cell vectors:
Co1 0.0000 0.0000 0.0000
Sn1 0.5000 0.5000 0.5000
F1 0.0000 0.5000 0.5000
F2 0.5000 0.0000 0.5000
F3 0.5000 0.5000 0.0000

Computed properties:
SG ... Pm-3m, No. 221
Energy above the lowest structure with this stoichiometry ... 382 meV/atom

An optimized crystal structure of CoSnF2, computed with GGA+U.

Cell lengths 8.2403, 8.2403, 8.2403 Å; angles 152.73, 152.73, 38.95 degrees
Sites, in units of the cell vectors:
Co1 0.0000 0.0000 0.0000
Co2 0.7500 0.2500 0.5000
Sn1 0.2500 0.7500 0.5000
Sn2 0.5000 0.5000 0.0000
F1 0.1059 0.6250 0.9809
F2 0.3750 0.3559 0.4809
F3 0.6441 0.1250 0.0191
F4 0.8750 0.8941 0.5191

Computed properties:
SG ... I-42d, No. 122
Energy above the lowest structure with this stoichiometry ... 302 meV/atom

An optimized crystal structure of CoSn2F6, computed with GGA+U.

Cell lengths 7.6749, 7.6749, 5.3033 Å; angles 96.90, 96.90, 102.04 degrees
Sites, in units of the cell vectors:
Co1 0.0781 0.9219 0.7500
Co2 0.9219 0.0781 0.2500
Sn1 0.2172 0.4547 0.8829
Sn2 0.4547 0.2172 0.3829
Sn3 0.5453 0.7828 0.6171
Sn4 0.7828 0.5453 0.1171
F1 0.0688 0.6691 0.8513
F2 0.0749 0.1696 0.6020
F3 0.1696 0.0749 0.1020
F4 0.3069 0.5194 0.5178
F5 0.3309 0.9312 0.6487
F6 0.4806 0.6931 0.9822
F7 0.5194 0.3069 0.0178
F8 0.6691 0.0688 0.3513
F9 0.6931 0.4806 0.4822
F10 0.8304 0.9251 0.8980
F11 0.9251 0.8304 0.3980
F12 0.9312 0.3309 0.1487

Computed properties:
SG ... C2/c, No. 15
E ... -4.893 eV per atom

An optimized crystal structure of CoSnF2, computed with GGA+U.

Cell lengths 8.1824, 8.1824, 8.1824 Å; angles 22.41, 22.41, 22.41 degrees
Sites, in units of the cell vectors:
Co1 0.0000 0.0000 0.0000
Sn1 0.5000 0.5000 0.5000
F1 0.0766 0.0766 0.0766
F2 0.9234 0.9234 0.9234

Computed properties:
SG ... R-3m, No. 166
Energy above the lowest structure with this stoichiometry ... 138 meV/atom

An optimized crystal structure of CoSnF2, computed with GGA+U.

Cell lengths 4.4606, 4.4606, 4.4606 Å; angles 60.00, 60.00, 60.00 degrees
Sites, in units of the cell vectors:
Co1 0.0000 0.0000 0.0000
Sn1 0.5000 0.5000 0.5000
F1 0.2500 0.2500 0.2500
F2 0.7500 0.7500 0.7500

Computed properties:
SG ... Fm-3m, No. 225
Energy above the lowest structure with this stoichiometry ... 592 meV/atom

An optimized crystal structure of CoSnF3, computed with GGA+U.

Cell lengths 4.1584, 4.1584, 4.1584 Å; angles 90.00, 90.00, 90.00 degrees
Sites, in units of the cell vectors:
Co1 0.0000 0.0000 0.0000
Sn1 0.5000 0.5000 0.5000
F1 0.0000 0.0000 0.5000
F2 0.0000 0.5000 0.0000
F3 0.5000 0.0000 0.0000

Computed properties:
SG ... Pm-3m, No. 221
Energy above the lowest structure with this stoichiometry ... 0 meV/atom

An optimized crystal structure of Co3SnF, computed with GGA+U.

Cell lengths 4.2292, 4.2292, 4.2292 Å; angles 90.00, 90.00, 90.00 degrees
Sites, in units of the cell vectors:
Co1 0.0000 0.0000 0.5000
Co2 0.0000 0.5000 0.0000
Co3 0.5000 0.0000 0.0000
Sn1 0.5000 0.5000 0.5000
F1 0.0000 0.0000 0.0000

Computed properties:
SG ... Pm-3m, No. 221
Energy above the lowest structure with this stoichiometry ... 0 meV/atom